VASP calculation (PBE) on an optimized crystal structure of Sc2BiPb.

Results
VASP energy = -5.376 eV per atom
excess energy over the best structure of this formula in the dataset = 131 meV/atom
crystal system = cubic
density = 8.24 g cm⁻³
space-group type = No. 225
formation enthalpy at 0 K = -0.313 eV per atom
DOS(E_F) = 1.846 states/eV per atom

Cell: 5.244 5.244 5.244 Å, 60.00 60.00 60.00°
Atoms (fractional coordinates):
Sc  0.250  0.250  0.250
Sc  0.750  0.750  0.750
Bi  0.000  0.000  0.000
Pb  0.500  0.500  0.500

---

VASP calculation (PBE) on an optimized crystal structure of PuTh4Cd2.

Results
VASP energy = -6.418 eV per atom
crystal system = tetragonal
density = 10.85 g cm⁻³
space-group type = No. 139
formation enthalpy at 0 K = 0.131 eV per atom
DOS(E_F) = 1.179 states/eV per atom

Cell: 6.527 6.527 6.527 Å, 110.70 110.70 107.03°
Atoms (fractional coordinates):
Pu  0.000  0.000  0.000
Th  0.000  0.000  0.500
Th  0.000  0.500  0.000
Th  0.500  0.000  0.000
Th  0.500  0.500  0.500
Cd  0.000  0.500  0.500
Cd  0.500  0.000  0.500

---

VASP calculation (PBE) on an optimized crystal structure of Na2Si2As.

Results
VASP energy = -3.541 eV per atom
crystal system = tetragonal
density = 2.69 g cm⁻³
space-group type = No. 127
formation energy without anion corrections = 41 kJ/mol of formula units
DOS(E_F) = 0.502 states/eV per atom

Cell: 6.748 6.748 4.793 Å, 90.00 90.00 90.00°
Atoms (fractional coordinates):
Na  0.180  0.320  0.000
Na  0.320  0.820  0.000
Na  0.680  0.180  0.000
Na  0.820  0.680  0.000
Si  0.120  0.620  0.500
Si  0.380  0.120  0.500
Si  0.620  0.880  0.500
Si  0.880  0.380  0.500
As  0.000  0.000  0.500
As  0.500  0.500  0.500

---

VASP calculation (PBE) on an optimized crystal structure of NaPm.

Results
VASP energy = -2.957 eV per atom
excess energy over the best structure of this formula in the dataset = 0 meV/atom
crystal system = trigonal
density = 3.94 g cm⁻³
space-group type = No. 164
formation enthalpy at 0 K = 0.078 eV per atom
DOS(E_F) = 0.848 states/eV per atom

Cell: 3.648 3.648 12.296 Å, 90.00 90.00 120.00°
Atoms (fractional coordinates):
Na  0.333  0.667  0.129
Na  0.667  0.333  0.871
Pm  0.333  0.667  0.616
Pm  0.667  0.333  0.384

---

VASP calculation (PBE) on an optimized crystal structure of Cd2Sn3O8.

Results
VASP energy = -5.574 eV per atom
crystal system = monoclinic
density = 6.34 g cm⁻³
space-group type = No. 12
formation energy without anion corrections = -1829 kJ/mol of formula units

Cell: 6.355 6.355 5.486 Å, 103.06 103.06 60.31°
Atoms (fractional coordinates):
Cd  0.211  0.211  0.120
Cd  0.789  0.789  0.880
Sn  0.242  0.758  0.500
Sn  0.500  0.500  0.000
Sn  0.758  0.242  0.500
O  0.105  0.105  0.413
O  0.165  0.609  0.124
O  0.391  0.835  0.876
O  0.401  0.401  0.616
O  0.599  0.599  0.384
O  0.609  0.165  0.124
O  0.835  0.391  0.876
O  0.895  0.895  0.587

---

VASP calculation (PBE) on an optimized crystal structure of PmHgBr.

Results
VASP energy = -3.230 eV per atom
crystal system = monoclinic
density = 7.22 g cm⁻³
space-group type = No. 12
formation energy without anion corrections = -286 kJ/mol of formula units
DOS(E_F) = 0.294 states/eV per atom

Cell: 4.234 4.234 12.616 Å, 91.37 91.37 59.99°
Atoms (fractional coordinates):
Pm  0.010  0.010  0.214
Pm  0.990  0.990  0.786
Hg  0.337  0.337  0.066
Hg  0.663  0.663  0.934
Br  0.316  0.316  0.643
Br  0.684  0.684  0.357

---

VASP calculation (PBE) on an optimized crystal structure of Ho4Tm3Zn4.

Results
VASP energy = -3.466 eV per atom
crystal system = orthorhombic
density = 8.55 g cm⁻³
space-group type = No. 71
formation enthalpy at 0 K = -0.118 eV per atom
DOS(E_F) = 0.745 states/eV per atom

Cell: 9.087 9.087 9.087 Å, 147.72 135.78 55.79°
Atoms (fractional coordinates):
Ho  0.054  0.821  0.234
Ho  0.413  0.179  0.234
Ho  0.587  0.821  0.766
Ho  0.946  0.179  0.766
Tm  0.000  0.500  0.500
Tm  0.399  0.399  0.000
Tm  0.601  0.601  0.000
Zn  0.179  0.679  0.500
Zn  0.313  0.000  0.313
Zn  0.687  0.000  0.687
Zn  0.821  0.321  0.500

---

VASP calculation (PBE) on an optimized crystal structure of LiZr2Sc.

Results
VASP energy = -6.107 eV per atom
crystal system = tetragonal
density = 4.50 g cm⁻³
space-group type = No. 123
formation enthalpy at 0 K = 0.228 eV per atom
DOS(E_F) = 1.565 states/eV per atom

Cell: 4.354 4.354 4.561 Å, 90.00 90.00 90.00°
Atoms (fractional coordinates):
Li  0.000  0.000  0.000
Zr  0.000  0.500  0.500
Zr  0.500  0.000  0.500
Sc  0.500  0.500  0.000

---

VASP calculation (PBE) on an optimized crystal structure of Pr2PaNi3Rh12.

Results
VASP energy = -7.002 eV per atom
crystal system = trigonal
density = 10.44 g cm⁻³
space-group type = No. 166
formation enthalpy at 0 K = -0.079 eV per atom
DOS(E_F) = 1.502 states/eV per atom

Cell: 6.790 6.790 6.790 Å, 82.69 82.69 82.69°
Atoms (fractional coordinates):
Pr  0.215  0.215  0.215
Pr  0.785  0.785  0.785
Pa  0.500  0.500  0.500
Ni  0.000  0.500  0.500
Ni  0.500  0.000  0.500
Ni  0.500  0.500  0.000
Rh  0.091  0.091  0.637
Rh  0.091  0.637  0.091
Rh  0.209  0.697  0.697
Rh  0.303  0.303  0.791
Rh  0.303  0.791  0.303
Rh  0.363  0.909  0.909
Rh  0.637  0.091  0.091
Rh  0.697  0.209  0.697
Rh  0.697  0.697  0.209
Rh  0.791  0.303  0.303
Rh  0.909  0.363  0.909
Rh  0.909  0.909  0.363

---

VASP calculation (PBE) on an optimized crystal structure of Si2TcAu.

Results
VASP energy = -6.034 eV per atom
excess energy over the best structure of this formula in the dataset = 252 meV/atom
crystal system = tetragonal
density = 10.03 g cm⁻³
space-group type = No. 123
formation energy without anion corrections = 34 kJ/mol of formula units
DOS(E_F) = 0.752 states/eV per atom

Cell: 4.238 4.238 3.238 Å, 90.00 90.00 90.00°
Atoms (fractional coordinates):
Si  0.000  0.500  0.000
Si  0.500  0.000  0.000
Tc  0.000  0.000  0.500
Au  0.500  0.500  0.500

---

VASP calculation (PBE) on an optimized crystal structure of La2PrScAs4.

Results
VASP energy = -6.399 eV per atom
crystal system = monoclinic
density = 5.86 g cm⁻³
space-group type = No. 10
formation enthalpy at 0 K = -1.453 eV per atom
DOS(E_F) = 0.094 states/eV per atom

Cell: 7.342 4.254 7.346 Å, 90.00 109.50 90.00°
Atoms (fractional coordinates):
La  0.000  0.000  0.000
La  0.000  0.500  0.500
Pr  0.500  0.000  0.500
Sc  0.500  0.500  0.000
As  0.261  0.500  0.242
As  0.269  0.000  0.767
As  0.731  0.000  0.233
As  0.739  0.500  0.758

---

VASP calculation (PBE) on an optimized crystal structure of Rb4Pu3AlS8.

Results
VASP energy = -6.618 eV per atom
crystal system = trigonal
density = 5.19 g cm⁻³
space-group type = No. 166
formation energy without anion corrections = -2148 kJ/mol of formula units
DOS(E_F) = 1.758 states/eV per atom

Cell: 8.935 8.935 8.935 Å, 54.04 54.04 54.04°
Atoms (fractional coordinates):
Rb  0.000  0.000  0.000
Rb  0.000  0.500  0.500
Rb  0.500  0.000  0.500
Rb  0.500  0.500  0.000
Pu  0.000  0.000  0.500
Pu  0.000  0.500  0.000
Pu  0.500  0.000  0.000
Al  0.500  0.500  0.500
S  0.231  0.231  0.231
S  0.252  0.714  0.714
S  0.286  0.286  0.748
S  0.286  0.748  0.286
S  0.714  0.252  0.714
S  0.714  0.714  0.252
S  0.748  0.286  0.286
S  0.769  0.769  0.769

---

VASP calculation (PBE) on an optimized crystal structure of ZrAs2Au.

Results
VASP energy = -5.461 eV per atom
crystal system = tetragonal
density = 8.50 g cm⁻³
space-group type = No. 99
formation enthalpy at 0 K = -0.180 eV per atom
DOS(E_F) = 0.834 states/eV per atom

Cell: 2.986 2.986 9.597 Å, 90.00 90.00 90.00°
Atoms (fractional coordinates):
Zr  0.000  0.000  0.000
As  0.000  0.000  0.567
As  0.500  0.500  0.211
Au  0.500  0.500  0.780

---

VASP calculation (PBE) on an optimized crystal structure of CrW.

Results
VASP energy = -11.192 eV per atom
crystal system = monoclinic
density = 13.90 g cm⁻³
space-group type = No. 11
formation enthalpy at 0 K = 0.096 eV per atom
DOS(E_F) = 0.740 states/eV per atom

Cell: 2.665 4.289 5.009 Å, 90.00 100.26 90.00°
Atoms (fractional coordinates):
Cr  0.125  0.250  0.377
Cr  0.875  0.750  0.623
W  0.373  0.750  0.136
W  0.627  0.250  0.864

---

VASP calculation (PBE) on an optimized crystal structure of Ca2Al9Cu3.

Results
VASP energy = -3.786 eV per atom
crystal system = monoclinic
density = 3.53 g cm⁻³
space-group type = No. 15
formation enthalpy at 0 K = -0.216 eV per atom
DOS(E_F) = 0.366 states/eV per atom

Cell: 7.633 7.633 10.588 Å, 111.38 111.38 59.63°
Atoms (fractional coordinates):
Ca  0.086  0.252  0.250
Ca  0.252  0.086  0.750
Ca  0.748  0.914  0.250
Ca  0.914  0.748  0.750
Al  0.025  0.857  0.074
Al  0.143  0.975  0.426
Al  0.193  0.358  0.571
Al  0.215  0.580  0.253
Al  0.315  0.485  0.949
Al  0.358  0.193  0.071
Al  0.371  0.629  0.750
Al  0.420  0.785  0.247
Al  0.485  0.315  0.449
Al  0.515  0.685  0.551
Al  0.580  0.215  0.753
Al  0.629  0.371  0.250
Al  0.642  0.807  0.929
Al  0.685  0.515  0.051
Al  0.785  0.420  0.747
Al  0.807  0.642  0.429
Al  0.857  0.025  0.574
Al  0.975  0.143  0.926
Cu  0.000  0.500  0.000
Cu  0.156  0.671  0.498
Cu  0.329  0.844  0.002
Cu  0.500  0.000  0.500
Cu  0.671  0.156  0.998
Cu  0.844  0.329  0.502

---

VASP calculation (PBE) on an optimized crystal structure of ZrPd3Pt.

Results
VASP energy = -5.156 eV per atom
excess energy over the best structure of this formula in the dataset = 1521 meV/atom
crystal system = cubic
density = 9.13 g cm⁻³
space-group type = No. 221
formation enthalpy at 0 K = 0.878 eV per atom
DOS(E_F) = 0.354 states/eV per atom

Cell: 4.794 4.794 4.794 Å, 90.00 90.00 90.00°
Atoms (fractional coordinates):
Zr  0.000  0.000  0.000
Pd  0.000  0.000  0.500
Pd  0.000  0.500  0.000
Pd  0.500  0.000  0.000
Pt  0.500  0.500  0.500

---

VASP calculation (PBE) on an optimized crystal structure of Pr4DyIn.

Results
VASP energy = -4.472 eV per atom
excess energy over the best structure of this formula in the dataset = 0 meV/atom
crystal system = orthorhombic
density = 7.03 g cm⁻³
space-group type = No. 63
formation enthalpy at 0 K = -0.062 eV per atom
DOS(E_F) = 1.446 states/eV per atom

Cell: 15.601 15.601 7.040 Å, 90.00 90.00 166.60°
Atoms (fractional coordinates):
Pr  0.000  0.000  0.000
Pr  0.000  0.000  0.500
Pr  0.159  0.841  0.509
Pr  0.159  0.841  0.991
Pr  0.418  0.582  0.750
Pr  0.582  0.418  0.250
Pr  0.841  0.159  0.009
Pr  0.841  0.159  0.491
Dy  0.257  0.743  0.750
Dy  0.743  0.257  0.250
In  0.421  0.579  0.250
In  0.579  0.421  0.750

---

VASP calculation (PBE) on an optimized crystal structure of NaGeAu2.

Results
VASP energy = -3.155 eV per atom
crystal system = tetragonal
density = 6.72 g cm⁻³
space-group type = No. 141
formation enthalpy at 0 K = -0.032 eV per atom
DOS(E_F) = 0.751 states/eV per atom

Cell: 9.202 9.202 9.202 Å, 146.06 146.06 48.75°
Atoms (fractional coordinates):
Na  0.375  0.625  0.750
Na  0.625  0.375  0.250
Ge  0.125  0.875  0.250
Ge  0.875  0.125  0.750
Au  0.000  0.000  0.000
Au  0.000  0.000  0.500
Au  0.000  0.500  0.000
Au  0.500  0.000  0.500

---

VASP calculation (PBE) on an optimized crystal structure of NaLa2RhSe.

Results
VASP energy = -3.948 eV per atom
crystal system = tetragonal
density = 5.51 g cm⁻³
space-group type = No. 123
formation energy without anion corrections = 219 kJ/mol of formula units
DOS(E_F) = 0.973 states/eV per atom

Cell: 5.626 5.626 4.593 Å, 90.00 90.00 90.00°
Atoms (fractional coordinates):
Na  0.000  0.000  0.000
La  0.000  0.500  0.000
La  0.500  0.000  0.000
Rh  0.500  0.500  0.500
Se  0.000  0.000  0.500